## CoOs3Ru (GGA-PBE)

Data for CoOs3Ru after structural relaxation.

Calculated values
crystal system	cubic
raw total energy	-8.101	eV per atom
E above lowest polymorph	0.000	eV/atom
calculated formation energy	44.12	kcal/mol of atoms
calculated density	14.91	g/cm3

Lattice parameters (Å, degrees): 4.333 4.333 4.333 90.00 90.00 90.00
Space group Pm-3m (No. 221)
One atom of each set of equivalent atoms:
Co1 0.000 0.000 0.000 x1
Os1 0.000 0.000 0.500 x3
Ru1 0.500 0.500 0.500 x1

=====

## K12Sr3I5 (GGA-PBE)

Data for K12Sr3I5 after structural relaxation.

Calculated values
crystal system	cubic
raw total energy	-1.780	eV per atom
calculated density	1.57	g/cm3
formation energy (no corrections)	-0.482	eV/atom

Lattice parameters (Å, degrees): 22.629 22.629 22.629 90.00 90.00 90.00
Space group Ia-3d (No. 230)
One atom of each set of equivalent atoms:
K1 0.033 0.058 0.644 x96
Sr1 0.000 0.250 0.125 x24
I1 0.000 0.000 0.000 x16
I2 0.000 0.250 0.375 x24

=====

## Tb2DyAu (GGA-PBE)

Data for Tb2DyAu after structural relaxation.

Calculated values
crystal system	trigonal
raw total energy	-4.561	eV per atom
E above lowest polymorph	0.164	eV/atom
calculated formation energy	-6.35	kcal/mol of atoms
calculated density	9.46	g/cm3

Lattice parameters (Å, degrees): 3.7359 3.7359 29.5198 90.00 90.00 120.00
Space group R3m (No. 160, hexagonal axes)
One atom of each set of equivalent atoms:
Tb1 0.0000 0.0000 0.0000 x3
Tb2 0.0000 0.0000 0.1934 x3
Dy1 0.0000 0.0000 0.4304 x3
Au1 0.0000 0.0000 0.5962 x3

=====

## LaGe2RhS (GGA-PBE)

Data for LaGe2RhS after structural relaxation.

Calculated values
crystal system	triclinic
raw total energy	-5.886	eV per atom
E above lowest polymorph	0.106	eV/atom
calculated density	6.58	g/cm3
formation energy (no corrections)	-0.757	eV/atom

Lattice parameters (Å, degrees): 4.121 4.297 6.155 90.35 104.11 90.46
Space group P1 (No. 1)
One atom of each set of equivalent atoms:
La1 0.000 0.000 0.000 x1
Ge1 0.332 0.030 0.524 x1
Ge2 0.420 0.546 0.745 x1
Rh1 0.851 0.379 0.554 x1
S1 0.556 0.492 0.149 x1

=====

## Eu2LuPb (GGA-PBE)

Data for Eu2LuPb after structural relaxation.

Calculated values
crystal system	tetragonal
raw total energy	-7.357	eV per atom
E above lowest polymorph	0.101	eV/atom
calculated formation energy	-3.74	kcal/mol of atoms
calculated density	8.75	g/cm3

Lattice parameters (Å, degrees): 4.315 4.315 6.989 90.00 90.00 90.00
Space group P4/mmm (No. 123)
One atom of each set of equivalent atoms:
Eu1 0.000 0.000 0.236 x2
Lu1 0.500 0.500 0.500 x1
Pb1 0.500 0.500 0.000 x1

=====

## FeCuP2 (GGA-PBE)

Data for FeCuP2 after structural relaxation.

Calculated values
crystal system	tetragonal
raw total energy	-5.779	eV per atom
calculated formation energy	1.51	kcal/mol of atoms
calculated density	6.14	g/cm3

Lattice parameters (Å, degrees): 3.223 3.223 4.719 90.00 90.00 90.00
Space group P4mm (No. 99)
One atom of each set of equivalent atoms:
Fe1 0.000 0.000 0.000 x1
Cu1 0.500 0.500 0.650 x1
P1 0.000 0.000 0.494 x1
P2 0.500 0.500 0.138 x1

=====

Which formula does entry 2 have?
K12Sr3I5